No. 1
Entry from Alexandria: a geometry-optimized Rb2GeRuO6 structure (PBE).

Total magnetic moment in μB per formula unit: 1.8
E_form (uncorrected) in eV/atom: -1.072
Total DFT energy (no corrections) in eV/atom: -5.6300

abc: 5.595 5.595 7.923
angles: 90.00 90.00 90.00
Space group I4/mmm (No. 139)
Symmetry-distinct sites (fractional):
Rb 0.000 0.500 0.250 (multiplicity 4)
Ge 0.000 0.000 0.000 (multiplicity 2)
Ru 0.000 0.000 0.500 (multiplicity 2)
O 0.000 0.000 0.250 (multiplicity 4)
O 0.249 0.249 0.000 (multiplicity 8)

No. 2
Entry from Alexandria: a geometry-optimized K2ZnRh structure (PBE).

Energy of formation from the pure elements in eV per atom: 0.10
Total magnetic moment in μB per formula unit: 0.0
Total DFT energy (no corrections) in eV/atom: -2.6061

abc: 3.524 3.524 9.845
angles: 90.00 90.00 90.00
Space group P4mm (No. 99)
Symmetry-distinct sites (fractional):
K 0.000 0.000 0.000 (multiplicity 1)
K 0.500 0.500 0.423 (multiplicity 1)
Zn 0.500 0.500 0.736 (multiplicity 1)
Rh 0.000 0.000 0.685 (multiplicity 1)